No. 1
{
  "formula": "CeCd2Cl6",
  "functional": "GGA-PBE",
  "state": "relaxed",
  "cell": [[-0.141, 2.265, -3.812], [5.367, -4.685, -0.401], [-6.957, -6.733, -3.743]],
  "species": ["Cl", "Cl", "Cl", "Cl", "Cl", "Cl", "Ce", "Cd", "Cd"],
  "fractional_positions": [[0.380, 0.759, 0.412], [0.837, 0.675, 0.094], [0.620, 0.241, 0.588], [0.907, 0.815, 0.727], [0.093, 0.185, 0.273], [0.163, 0.325, 0.906], [0.000, 0.000, 0.500], [0.742, 0.484, 0.835], [0.258, 0.516, 0.165]],
  "formation_energy_uncorrected_ev_per_atom": -1.362,
  "dos_ef_per_ev_cell": 9.9,
  "magmom_total_mub_per_fu": 1.30
}

No. 2
{
  "formula": "PmHo2Cd3",
  "functional": "GGA-PBE",
  "state": "relaxed",
  "cell": [[3.755, 0.000, 0.000], [0.000, 3.755, 0.000], [0.000, 0.000, 11.346]],
  "species": ["Cd", "Cd", "Cd", "Ho", "Ho", "Pm"],
  "fractional_positions": [[0.000, 0.000, 0.323], [0.000, 0.000, 0.000], [0.000, 0.000, 0.677], [0.500, 0.500, 0.163], [0.500, 0.500, 0.837], [0.500, 0.500, 0.500]],
  "dos_ef_per_ev_cell": 6.6,
  "formation_enthalpy_0k_ev_per_atom": -0.315,
  "magmom_total_mub_per_fu": 0.63
}

No. 3
{
  "formula": "CaZn3Au",
  "functional": "GGA-PBE",
  "state": "relaxed",
  "cell": [[4.919, 0.000, 0.000], [0.000, 4.919, 0.000], [0.000, 0.000, 4.919]],
  "species": ["Zn", "Zn", "Zn", "Ca", "Au"],
  "fractional_positions": [[0.000, 0.500, 0.000], [0.000, 0.000, 0.500], [0.500, 0.000, 0.000], [0.500, 0.500, 0.500], [0.000, 0.000, 0.000]],
  "e_above_lowest_polymorph_mev_per_atom": 288,
  "dos_ef_per_ev_cell": 2.4,
  "formation_enthalpy_0k_ev_per_atom": -0.092,
  "magmom_total_mub_per_fu": 0.00
}

No. 4
{
  "formula": "DyMgRe4",
  "functional": "GGA-PBE",
  "state": "relaxed",
  "cell": [[-3.483, 2.978, -2.735], [-2.412, -2.005, -4.317], [-5.205, -1.167, 0.152]],
  "species": ["Dy", "Re", "Re", "Re", "Re", "Mg"],
  "fractional_positions": [[0.250, 0.250, 0.250], [0.124, 0.625, 0.625], [0.625, 0.625, 0.124], [0.625, 0.124, 0.625], [0.625, 0.625, 0.625], [0.000, 0.000, 0.000]],
  "dos_ef_per_ev_cell": 2.6,
  "formation_enthalpy_0k_ev_per_atom": -0.014,
  "magmom_total_mub_per_fu": 0.00
}

No. 5
{
  "formula": "CaMnN2",
  "functional": "GGA-PBE",
  "state": "relaxed",
  "cell": [[3.165, 0.000, 0.000], [0.000, 5.590, 0.000], [0.000, 0.000, 11.359]],
  "species": ["N", "N", "N", "N", "N", "N", "N", "N", "Mn", "Mn", "Mn", "Mn", "Ca", "Ca", "Ca", "Ca"],
  "fractional_positions": [[0.000, 0.039, 0.304], [0.000, 0.539, 0.196], [0.500, 0.961, 0.804], [0.500, 0.027, 0.522], [0.500, 0.461, 0.696], [0.000, 0.473, 0.478], [0.000, 0.973, 0.022], [0.500, 0.527, 0.978], [0.000, 0.642, 0.058], [0.500, 0.358, 0.558], [0.000, 0.142, 0.442], [0.500, 0.858, 0.942], [0.000, 0.306, 0.846], [0.000, 0.806, 0.654], [0.500, 0.194, 0.154], [0.500, 0.694, 0.346]],
  "formation_energy_uncorrected_ev_per_atom": -0.687,
  "dos_ef_per_ev_cell": 7.7,
  "magmom_total_mub_per_fu": 0.00
}

No. 6
{
  "formula": "AcAlCdPd3",
  "functional": "GGA-PBE",
  "state": "relaxed",
  "cell": [[6.027, 0.000, 0.000], [0.000, 7.243, 0.000], [0.000, -3.622, 6.248]],
  "species": ["Cd", "Cd", "Pd", "Pd", "Pd", "Pd", "Pd", "Pd", "Ac", "Ac", "Al", "Al"],
  "fractional_positions": [[0.750, 0.029, 0.057], [0.250, 0.971, 0.943], [0.000, 0.305, 0.000], [0.750, 0.806, 0.613], [0.250, 0.194, 0.387], [0.000, 0.695, 0.000], [0.500, 0.305, 0.000], [0.500, 0.695, 0.000], [0.250, 0.706, 0.412], [0.750, 0.294, 0.588], [0.250, 0.388, 0.776], [0.750, 0.612, 0.224]],
  "dos_ef_per_ev_cell": 6.3,
  "formation_enthalpy_0k_ev_per_atom": -0.519,
  "magmom_total_mub_per_fu": 0.00
}

Across the entries above, energy takes the values -31.10, -18.54, -9.56, -56.07, -122.28, -54.92 eV/cell, respectively.